Below is an optimized crystal structure of Sr4BePt, with properties calculated at the PBE level.

Lattice parameters (Å, degrees): 9.353 9.353 9.353 90.00 90.00 90.00
Space group F-43m (No. 216)
Symmetry-distinct sites (fractional):
Sr 0.124 0.124 0.376 (multiplicity 16)
Be 0.000 0.000 0.000 (multiplicity 4)
Pt 0.250 0.250 0.750 (multiplicity 4)

Computed properties:
total magnetization	0.000	μB/f.u.
crystal system	cubic
energy of formation from the pure elements	0.9387	eV/atom

=====

Below is an optimized crystal structure of MoC3Se, with properties calculated at the PBE level.

Lattice parameters (Å, degrees): 3.827 3.827 3.827 90.00 90.00 90.00
Space group Pm-3m (No. 221)
Symmetry-distinct sites (fractional):
Mo 0.000 0.000 0.000 (multiplicity 1)
C 0.000 0.500 0.500 (multiplicity 3)
Se 0.500 0.500 0.500 (multiplicity 1)

Computed properties:
uncorrected formation energy	2.853	eV per atom
total magnetization	0.000	μB/f.u.
crystal system	cubic
offset from the most stable computed form	0.597	eV per atom